# 1
# PBE LaBePb2, optimized geometry
data_LaBePb2
_chemical_formula_sum 'La2 Be2 Pb4'
_cell_length_a 5.4611
_cell_length_b 5.4611
_cell_length_c 9.2218
_cell_angle_alpha 72.78
_cell_angle_beta 72.78
_cell_angle_gamma 90.00
_symmetry_space_group_name_H-M 'P 1'
_symmetry_Int_Tables_number 1
loop_
_symmetry_equiv_pos_as_xyz
'x,y,z'
loop_
_atom_site_label
_atom_site_fract_x
_atom_site_fract_y
_atom_site_fract_z
Pb1 0.4989 0.1250 0.2500
Pb2 0.2511 0.6250 0.2500
Pb3 0.3750 0.5011 0.7500
Pb4 0.8750 0.7489 0.7500
Be1 0.5000 0.5000 0.0000
Be2 0.2500 0.7500 0.5000
La1 0.0000 0.0000 0.0000
La2 0.7500 0.2500 0.5000
# Calculated density = 7.5 g/cm³
# Total magnetization = 0.00 μB per formula unit

***

# 2
# PBE LaBe2Pb, optimized geometry
data_LaBe2Pb
_chemical_formula_sum 'La1 Be2 Pb1'
_cell_length_a 4.2574
_cell_length_b 4.2574
_cell_length_c 5.8445
_cell_angle_alpha 68.65
_cell_angle_beta 68.65
_cell_angle_gamma 60.05
_symmetry_space_group_name_H-M 'P 1'
_symmetry_Int_Tables_number 1
loop_
_symmetry_equiv_pos_as_xyz
'x,y,z'
loop_
_atom_site_label
_atom_site_fract_x
_atom_site_fract_y
_atom_site_fract_z
Pb1 0.2500 0.2500 0.2500
Be1 0.9644 0.9644 0.1059
Be2 0.5356 0.5356 0.3941
La1 0.7500 0.7500 0.7500
# Calculated density = 7.3 g/cm³
# Total magnetization = 0.00 μB per formula unit

***

# 3
# PBE LaBePb2, optimized geometry
data_LaBePb2
_chemical_formula_sum 'La1 Be1 Pb2'
_cell_length_a 4.7684
_cell_length_b 4.7715
_cell_length_c 4.6372
_cell_angle_alpha 90.00
_cell_angle_beta 90.00
_cell_angle_gamma 90.00
_symmetry_space_group_name_H-M 'P 1'
_symmetry_Int_Tables_number 1
loop_
_symmetry_equiv_pos_as_xyz
'x,y,z'
loop_
_atom_site_label
_atom_site_fract_x
_atom_site_fract_y
_atom_site_fract_z
Pb1 0.0000 0.0000 0.0000
Pb2 0.5000 0.5000 0.0000
Be1 0.5000 0.0000 0.5000
La1 0.0000 0.5000 0.5000
# Calculated density = 8.8 g/cm³
# Total magnetization = 0.00 μB per formula unit

***

# 4
# PBE LaBe2Pb, optimized geometry
data_LaBe2Pb
_chemical_formula_sum 'La1 Be2 Pb1'
_cell_length_a 4.2402
_cell_length_b 4.6122
_cell_length_c 4.7853
_cell_angle_alpha 90.01
_cell_angle_beta 90.00
_cell_angle_gamma 90.00
_symmetry_space_group_name_H-M 'P 1'
_symmetry_Int_Tables_number 1
loop_
_symmetry_equiv_pos_as_xyz
'x,y,z'
loop_
_atom_site_label
_atom_site_fract_x
_atom_site_fract_y
_atom_site_fract_z
Pb1 0.5000 0.7500 0.7500
Be1 0.0000 0.7496 0.0283
Be2 0.0000 0.7504 0.4717
La1 0.5000 0.2500 0.2500
# Calculated density = 6.5 g/cm³
# Total magnetization = 0.00 μB per formula unit

***

Computed values of formation energy (unit: eV per atom) for the preceding records, in sequence: 0.17; 0.15; -0.02; 0.20.